# 1
Here is a relaxed Mg2CrFe2 crystal from the Alexandria database. Energies are from PBE-GGA.

a b c (Å): 9.004 9.004 9.004
angles (deg): 160.11 160.11 28.27
Fractional positions:
Mg 0.118 0.118 0.000
Mg 0.882 0.882 0.000
Cr 0.500 0.500 0.000
Fe 0.250 0.750 0.500
Fe 0.750 0.250 0.500

DFT formation energy ... 0.67 eV/atom
SG ... I4/mmm, No. 139
Raw total energy ... -5.282 eV/atom
Fermi-level density of states ... 7.84 states/eV per cell
Distance to the lowest polymorph of the same formula ... 0.322 eV/atom



# 2
Here is a relaxed MgCr2Fe crystal from the Alexandria database. Energies are from PBE-GGA.

a b c (Å): 4.896 4.896 2.452
angles (deg): 90.00 90.00 119.17
Fractional positions:
Mg 0.000 0.000 0.000
Cr 0.000 0.500 0.500
Cr 0.500 0.000 0.500
Fe 0.500 0.500 0.000

DFT formation energy ... 0.48 eV/atom
SG ... Cmmm, No. 65
Raw total energy ... -6.844 eV/atom
Fermi-level density of states ... 3.66 states/eV per cell



# 3
Here is a relaxed MgCr2Fe crystal from the Alexandria database. Energies are from PBE-GGA.

a b c (Å): 4.198 4.198 4.198
angles (deg): 60.00 60.00 60.00
Fractional positions:
Mg 0.000 0.000 0.000
Cr 0.250 0.250 0.250
Cr 0.500 0.500 0.500
Fe 0.750 0.750 0.750

DFT formation energy ... 0.35 eV/atom
SG ... F-43m, No. 216
Raw total energy ... -6.978 eV/atom
Fermi-level density of states ... 3.19 states/eV per cell



# 4
Here is a relaxed Mg2CrFe2 crystal from the Alexandria database. Energies are from PBE-GGA.

a b c (Å): 5.755 5.755 4.355
angles (deg): 90.00 90.00 90.00
Fractional positions:
Mg 0.176 0.324 0.000
Mg 0.324 0.824 0.000
Mg 0.676 0.176 0.000
Mg 0.824 0.676 0.000
Cr 0.000 0.000 0.500
Cr 0.500 0.500 0.500
Fe 0.134 0.634 0.500
Fe 0.366 0.134 0.500
Fe 0.634 0.866 0.500
Fe 0.866 0.366 0.500

DFT formation energy ... 0.34 eV/atom
SG ... P4/mbm, No. 127
Raw total energy ... -5.605 eV/atom
Fermi-level density of states ... 10.57 states/eV per cell
Distance to the lowest polymorph of the same formula ... 0.000 eV/atom



# 5
Here is a relaxed MgCr2Fe crystal from the Alexandria database. Energies are from PBE-GGA.

a b c (Å): 2.520 4.010 5.183
angles (deg): 90.00 100.31 90.00
Fractional positions:
Mg 0.000 0.000 0.000
Cr 0.529 0.000 0.497
Cr 0.724 0.500 0.284
Fe 0.282 0.500 0.737

DFT formation energy ... 0.36 eV/atom
SG ... Pm, No. 6
Raw total energy ... -6.964 eV/atom
Fermi-level density of states ... 3.31 states/eV per cell



# 6
Here is a relaxed MgCr2Fe crystal from the Alexandria database. Energies are from PBE-GGA.

a b c (Å): 2.500 4.238 4.985
angles (deg): 90.00 102.67 90.00
Fractional positions:
Mg 0.000 0.000 0.000
Cr 0.234 0.500 0.720
Cr 0.766 0.500 0.280
Fe 0.500 0.000 0.500

DFT formation energy ... 0.40 eV/atom
SG ... P2/m, No. 10
Raw total energy ... -6.929 eV/atom
Fermi-level density of states ... 4.12 states/eV per cell



# 7
Here is a relaxed MgCr2Fe crystal from the Alexandria database. Energies are from PBE-GGA.

a b c (Å): 4.233 4.233 3.065
angles (deg): 90.00 90.00 90.00
Fractional positions:
Mg 0.000 0.000 0.000
Cr 0.000 0.500 0.500
Cr 0.500 0.000 0.500
Fe 0.500 0.500 0.000

DFT formation energy ... 0.53 eV/atom
SG ... P4/mmm, No. 123
Raw total energy ... -6.800 eV/atom
Fermi-level density of states ... 3.62 states/eV per cell



# 8
Here is a relaxed Mg4CrFe crystal from the Alexandria database. Energies are from PBE-GGA.

a b c (Å): 5.546 5.546 5.546
angles (deg): 60.00 60.00 60.00
Fractional positions:
Mg 0.125 0.125 0.125
Mg 0.125 0.125 0.624
Mg 0.125 0.624 0.125
Mg 0.624 0.125 0.125
Cr 0.750 0.750 0.750
Fe 0.500 0.500 0.500

DFT formation energy ... 0.63 eV/atom
SG ... F-43m, No. 216
Raw total energy ... -3.450 eV/atom
Fermi-level density of states ... 7.10 states/eV per cell



# 9
Here is a relaxed Mg6CrFe crystal from the Alexandria database. Energies are from PBE-GGA.

a b c (Å): 4.865 6.094 6.094
angles (deg): 59.87 90.00 90.00
Fractional positions:
Mg 0.000 0.000 0.000
Mg 0.000 0.508 0.980
Mg 0.000 0.980 0.508
Mg 0.500 0.170 0.170
Mg 0.500 0.182 0.665
Mg 0.500 0.665 0.182
Cr 0.000 0.504 0.504
Fe 0.500 0.664 0.664

DFT formation energy ... 0.27 eV/atom
SG ... Amm2, No. 38
Raw total energy ... -3.185 eV/atom
Fermi-level density of states ... 6.56 states/eV per cell
Distance to the lowest polymorph of the same formula ... 0.023 eV/atom



# 10
Here is a relaxed MgCr2Fe crystal from the Alexandria database. Energies are from PBE-GGA.

a b c (Å): 3.020 4.108 4.289
angles (deg): 90.00 90.00 90.00
Fractional positions:
Mg 0.000 0.000 0.000
Cr 0.000 0.500 0.500
Cr 0.500 0.000 0.500
Fe 0.500 0.500 0.000

DFT formation energy ... 0.37 eV/atom
SG ... Pmmm, No. 47
Raw total energy ... -6.955 eV/atom
Fermi-level density of states ... 3.62 states/eV per cell



# 11
Here is a relaxed Mg14CrFe crystal from the Alexandria database. Energies are from PBE-GGA.

a b c (Å): 6.242 6.242 9.988
angles (deg): 90.00 90.00 120.00
Fractional positions:
Mg 0.000 0.000 0.249
Mg 0.000 0.000 0.751
Mg 0.012 0.506 0.256
Mg 0.012 0.506 0.744
Mg 0.332 0.166 0.500
Mg 0.336 0.168 0.000
Mg 0.494 0.506 0.256
Mg 0.494 0.506 0.744
Mg 0.494 0.988 0.256
Mg 0.494 0.988 0.744
Mg 0.832 0.168 0.000
Mg 0.832 0.664 0.000
Mg 0.834 0.166 0.500
Mg 0.834 0.668 0.500
Cr 0.333 0.667 0.000
Fe 0.333 0.667 0.500

DFT formation energy ... 0.13 eV/atom
SG ... P-6m2, No. 187
Raw total energy ... -2.395 eV/atom
Fermi-level density of states ... 7.62 states/eV per cell



# 12
Here is a relaxed MgCr2Fe crystal from the Alexandria database. Energies are from PBE-GGA.

a b c (Å): 4.854 4.854 4.854
angles (deg): 144.52 126.40 65.94
Fractional positions:
Mg 0.000 0.000 0.000
Cr 0.279 0.779 0.500
Cr 0.503 0.503 0.000
Fe 0.732 0.232 0.500

DFT formation energy ... 0.38 eV/atom
SG ... Imm2, No. 44
Raw total energy ... -6.942 eV/atom
Fermi-level density of states ... 4.07 states/eV per cell



# 13
Here is a relaxed MgCr2Fe crystal from the Alexandria database. Energies are from PBE-GGA.

a b c (Å): 2.581 2.581 8.313
angles (deg): 90.00 90.00 109.86
Fractional positions:
Mg 0.000 0.000 0.000
Cr 0.000 0.000 0.503
Cr 0.500 0.500 0.282
Fe 0.500 0.500 0.732

DFT formation energy ... 0.28 eV/atom
SG ... Cmm2, No. 35
Raw total energy ... -7.049 eV/atom
Fermi-level density of states ... 3.51 states/eV per cell



# 14
Here is a relaxed MgCr2Fe crystal from the Alexandria database. Energies are from PBE-GGA.

a b c (Å): 4.962 4.962 2.480
angles (deg): 98.16 98.16 120.00
Fractional positions:
Mg 0.000 0.000 0.000
Cr 0.000 0.500 0.500
Cr 0.500 0.000 0.500
Fe 0.500 0.500 0.000

DFT formation energy ... 0.43 eV/atom
SG ... C2/m, No. 12
Raw total energy ... -6.893 eV/atom
Fermi-level density of states ... 4.54 states/eV per cell



# 15
Here is a relaxed MgCr2Fe crystal from the Alexandria database. Energies are from PBE-GGA.

a b c (Å): 4.841 4.841 4.841
angles (deg): 137.55 137.55 61.60
Fractional positions:
Mg 0.000 0.000 0.000
Cr 0.250 0.750 0.500
Cr 0.750 0.250 0.500
Fe 0.500 0.500 0.000

DFT formation energy ... 0.47 eV/atom
SG ... I4/mmm, No. 139
Raw total energy ... -6.854 eV/atom
Fermi-level density of states ... 4.36 states/eV per cell



# 16
Here is a relaxed MgCr2Fe crystal from the Alexandria database. Energies are from PBE-GGA.

a b c (Å): 2.598 2.598 7.700
angles (deg): 90.00 90.00 90.00
Fractional positions:
Mg 0.000 0.000 0.000
Cr 0.500 0.500 0.291
Cr 0.500 0.500 0.709
Fe 0.000 0.000 0.500

DFT formation energy ... 0.41 eV/atom
SG ... P4/mmm, No. 123
Raw total energy ... -6.915 eV/atom
Fermi-level density of states ... 4.90 states/eV per cell



# 17
Here is a relaxed MgCr2Fe crystal from the Alexandria database. Energies are from PBE-GGA.

a b c (Å): 2.912 2.912 6.564
angles (deg): 90.00 90.00 90.00
Fractional positions:
Mg 0.000 0.000 0.000
Cr 0.000 0.000 0.514
Cr 0.500 0.500 0.312
Fe 0.500 0.500 0.726

DFT formation energy ... 0.26 eV/atom
SG ... P4mm, No. 99
Raw total energy ... -7.068 eV/atom
Fermi-level density of states ... 2.42 states/eV per cell



# 18
Here is a relaxed MgCr2Fe crystal from the Alexandria database. Energies are from PBE-GGA.

a b c (Å): 5.358 5.358 5.358
angles (deg): 102.62 102.62 124.27
Fractional positions:
Mg 0.000 0.000 0.000
Mg 0.750 0.250 0.500
Cr 0.187 0.625 0.062
Cr 0.375 0.437 0.562
Cr 0.563 0.125 0.938
Cr 0.875 0.813 0.438
Fe 0.250 0.750 0.500
Fe 0.500 0.500 0.000

DFT formation energy ... 0.72 eV/atom
SG ... I-42d, No. 122
Raw total energy ... -6.610 eV/atom
Fermi-level density of states ... 2.00 states/eV per cell



# 19
Here is a relaxed Mg6CrFe crystal from the Alexandria database. Energies are from PBE-GGA.

a b c (Å): 6.007 6.007 4.270
angles (deg): 90.00 90.00 90.92
Fractional positions:
Mg 0.000 0.500 0.500
Mg 0.244 0.244 0.000
Mg 0.244 0.756 0.000
Mg 0.500 0.000 0.500
Mg 0.756 0.244 0.000
Mg 0.756 0.756 0.000
Cr 0.500 0.500 0.500
Fe 0.000 0.000 0.500

DFT formation energy ... 0.25 eV/atom
SG ... Cmmm, No. 65
Raw total energy ... -3.208 eV/atom
Fermi-level density of states ... 5.32 states/eV per cell
Distance to the lowest polymorph of the same formula ... 0.000 eV/atom



# 20
Here is a relaxed Mg14CrFe crystal from the Alexandria database. Energies are from PBE-GGA.

a b c (Å): 10.042 6.229 6.229
angles (deg): 60.24 90.00 90.00
Fractional positions:
Mg 0.000 0.000 0.000
Mg 0.000 0.496 0.998
Mg 0.000 0.499 0.499
Mg 0.000 0.998 0.496
Mg 0.253 0.833 0.833
Mg 0.259 0.334 0.334
Mg 0.269 0.330 0.823
Mg 0.269 0.823 0.330
Mg 0.500 0.000 0.502
Mg 0.500 0.502 0.000
Mg 0.731 0.330 0.823
Mg 0.731 0.823 0.330
Mg 0.741 0.334 0.334
Mg 0.747 0.833 0.833
Cr 0.500 0.997 0.997
Fe 0.500 0.496 0.496

DFT formation energy ... 0.13 eV/atom
SG ... Amm2, No. 38
Raw total energy ... -2.393 eV/atom
Fermi-level density of states ... 8.70 states/eV per cell



# 21
Here is a relaxed Mg3CrFe crystal from the Alexandria database. Energies are from PBE-GGA.

a b c (Å): 4.821 4.821 4.821
angles (deg): 90.00 90.00 90.00
Fractional positions:
Mg 0.000 0.000 0.500
Mg 0.000 0.500 0.000
Mg 0.500 0.000 0.000
Cr 0.500 0.500 0.500
Fe 0.000 0.000 0.000

DFT formation energy ... 0.87 eV/atom
SG ... Pm-3m, No. 221
Raw total energy ... -3.704 eV/atom
Fermi-level density of states ... 3.03 states/eV per cell
Distance to the lowest polymorph of the same formula ... 0.000 eV/atom



# 22
Here is a relaxed MgCr2Fe crystal from the Alexandria database. Energies are from PBE-GGA.

a b c (Å): 4.917 4.917 4.917
angles (deg): 146.32 130.71 61.03
Fractional positions:
Mg 0.000 0.000 0.000
Cr 0.267 0.767 0.500
Cr 0.733 0.233 0.500
Fe 0.500 0.500 0.000

DFT formation energy ... 0.34 eV/atom
SG ... Immm, No. 71
Raw total energy ... -6.985 eV/atom
Fermi-level density of states ... 3.71 states/eV per cell



# 23
Here is a relaxed MgCr2Fe crystal from the Alexandria database. Energies are from PBE-GGA.

a b c (Å): 3.126 3.126 5.722
angles (deg): 90.00 90.00 90.00
Fractional positions:
Mg 0.000 0.000 0.000
Cr 0.500 0.500 0.319
Cr 0.500 0.500 0.681
Fe 0.000 0.000 0.500

DFT formation energy ... 0.41 eV/atom
SG ... P4/mmm, No. 123
Raw total energy ... -6.917 eV/atom
Fermi-level density of states ... 3.99 states/eV per cell



# 24
Here is a relaxed MgMnCrFe2 crystal from the Alexandria database. Energies are from PBE-GGA.

a b c (Å): 4.165 4.165 4.544
angles (deg): 90.00 90.00 90.00
Fractional positions:
Mg 0.000 0.000 0.000
Mn 0.000 0.000 0.500
Cr 0.500 0.500 0.000
Fe 0.000 0.500 0.500
Fe 0.500 0.000 0.500

DFT formation energy ... 1.44 eV/atom
SG ... P4/mmm, No. 123
Raw total energy ... -6.023 eV/atom
Fermi-level density of states ... 10.73 states/eV per cell